SrMgGa2Ag: optimized geometry, GGA-PBE.

Computed properties:
- symmetry = I-4m2, No. 119
- DFT total energy (eV per atom) = -2.76

Structure (POSCAR):
```
SrMgGa2Ag
1.0
-2.246 2.246 5.711
2.246 -2.246 5.711
2.246 2.246 -5.711
Sr Mg Ga Ag
1 1 2 1
direct
0.000 0.000 0.000
0.250 0.750 0.500
0.389 0.389 0.000
0.611 0.611 0.000
0.750 0.250 0.500
```

CsSmGa: optimized geometry, GGA-PBE.

Computed properties:
- ΔE to the lowest computed polymorph (meV/atom) = 0
- magnetic moment (μB per cell) = 0.065
- symmetry = F-43m, No. 216

Structure (POSCAR):
```
CsSmGa
1.0
0.000 3.811 3.811
3.811 0.000 3.811
3.811 3.811 0.000
Cs Sm Ga
1 1 1
direct
0.000 0.000 0.000
0.250 0.250 0.250
0.500 0.500 0.500
```

- Which formula does entry 2 have?
  CsSmGa